Record 1
Material: Mg7GePt4
Method: DFT, PBE-GGA
State: optimized geometry

Cell and atoms, written as CIF:
```
data_Mg7GePt4
_cell_length_a 6.873
_cell_length_b 6.873
_cell_length_c 9.362
_cell_angle_alpha 124.55
_cell_angle_beta 124.55
_cell_angle_gamma 40.96
_space_group_name_H-M_alt 'P 1'
_space_group_IT_number 1
loop_
_space_group_symop_operation_xyz
'x,y,z'
loop_
_atom_site_label
_atom_site_fract_x
_atom_site_fract_y
_atom_site_fract_z
_atom_site_occupancy
Mg1 0.000 0.000 0.000 1
Mg2 0.176 0.176 0.618 1
Mg3 0.282 0.282 0.131 1
Mg4 0.432 0.432 0.653 1
Mg5 0.568 0.568 0.347 1
Mg6 0.718 0.718 0.869 1
Mg7 0.824 0.824 0.382 1
Ge1 0.500 0.500 0.000 1
Pt1 0.068 0.068 0.780 1
Pt2 0.200 0.200 0.347 1
Pt3 0.800 0.800 0.653 1
Pt4 0.932 0.932 0.220 1
```

## Properties
Space group: C2/m (12)
Magnetization, μB per formula unit: 0.0
Formation energy from the elements, eV/atom: -0.4726
DFT total energy, eV per atom: -3.80


Record 2
Material: MgGe2Pt
Method: DFT, PBE-GGA
State: optimized geometry

Cell and atoms, written as CIF:
```
data_MgGe2Pt
_cell_length_a 9.474
_cell_length_b 9.474
_cell_length_c 9.474
_cell_angle_alpha 155.49
_cell_angle_beta 155.49
_cell_angle_gamma 34.94
_space_group_name_H-M_alt 'P 1'
_space_group_IT_number 1
loop_
_space_group_symop_operation_xyz
'x,y,z'
loop_
_atom_site_label
_atom_site_fract_x
_atom_site_fract_y
_atom_site_fract_z
_atom_site_occupancy
Mg1 0.000 0.000 0.000 1
Mg2 0.750 0.250 0.500 1
Ge1 0.138 0.625 0.013 1
Ge2 0.375 0.388 0.513 1
Ge3 0.612 0.125 0.987 1
Ge4 0.875 0.862 0.487 1
Pt1 0.250 0.750 0.500 1
Pt2 0.500 0.500 0.000 1
```

## Properties
Space group: I-42d (122)
Magnetization, μB per formula unit: 0.0
Formation energy from the elements, eV/atom: -0.1993
DFT total energy, eV per atom: -4.42


Record 3
Material: MgGePt3
Method: DFT, PBE-GGA
State: optimized geometry

Cell and atoms, written as CIF:
```
data_MgGePt3
_cell_length_a 4.657
_cell_length_b 4.657
_cell_length_c 4.657
_cell_angle_alpha 90.00
_cell_angle_beta 90.00
_cell_angle_gamma 90.00
_space_group_name_H-M_alt 'P 1'
_space_group_IT_number 1
loop_
_space_group_symop_operation_xyz
'x,y,z'
loop_
_atom_site_label
_atom_site_fract_x
_atom_site_fract_y
_atom_site_fract_z
_atom_site_occupancy
Mg1 0.000 0.000 0.000 1
Ge1 0.500 0.500 0.500 1
Pt1 0.000 0.500 0.500 1
Pt2 0.500 0.000 0.500 1
Pt3 0.500 0.500 0.000 1
```

## Properties
Space group: Pm-3m (221)
Magnetization, μB per formula unit: 0.0
Formation energy from the elements, eV/atom: 0.0631
Distance to the lowest polymorph of the same formula, eV per atom: 0.531
DFT total energy, eV per atom: -4.80


Record 4
Material: Mg3GePt2
Method: DFT, PBE-GGA
State: optimized geometry

Cell and atoms, written as CIF:
```
data_Mg3GePt2
_cell_length_a 6.604
_cell_length_b 6.604
_cell_length_c 6.604
_cell_angle_alpha 69.00
_cell_angle_beta 69.00
_cell_angle_gamma 69.00
_space_group_name_H-M_alt 'P 1'
_space_group_IT_number 1
loop_
_space_group_symop_operation_xyz
'x,y,z'
loop_
_atom_site_label
_atom_site_fract_x
_atom_site_fract_y
_atom_site_fract_z
_atom_site_occupancy
Mg1 0.066 0.750 0.434 1
Mg2 0.250 0.566 0.934 1
Mg3 0.434 0.066 0.750 1
Mg4 0.566 0.934 0.250 1
Mg5 0.750 0.434 0.066 1
Mg6 0.934 0.250 0.566 1
Ge1 0.000 0.000 0.000 1
Ge2 0.500 0.500 0.500 1
Pt1 0.161 0.161 0.161 1
Pt2 0.339 0.339 0.339 1
Pt3 0.661 0.661 0.661 1
Pt4 0.839 0.839 0.839 1
```

## Properties
Space group: R-3c (167)
Magnetization, μB per formula unit: 0.0
Formation energy from the elements, eV/atom: -0.5568
DFT total energy, eV per atom: -4.14